The following is a DFT calculation (PBE) of a relaxed Tb2ThGa crystal.

Calculated values
ΔH_f (0 K), eV per atom: -0.19
Space-group type: P4/mmm (123)
Offset from the most stable computed form, meV per atom: 84
Size of the total moment, μB/f.u.: 0.00

Unit cell a=4.7330 b=4.7893 c=4.7893 alpha=90.00 beta=90.00 gamma=90.00
Sites, in units of the cell vectors:
Tb 0.0000 0.0000 0.5000
Tb 0.0000 0.5000 0.0000
Ga 0.5000 0.0000 0.0000
Th 0.5000 0.5000 0.5000